Record 1
DFT (PBE) results for Er12H5Os3 after structural relaxation.

```
data_Er12H5Os3
_cell_length_a 12.9332
_cell_length_b 12.9332
_cell_length_c 12.9332
_cell_angle_alpha 109.47
_cell_angle_beta 109.47
_cell_angle_gamma 109.47
_symmetry_space_group_name_H-M 'P 1'
_symmetry_Int_Tables_number 1
loop_
_symmetry_equiv_pos_as_xyz
'x,y,z'
loop_
_atom_site_label
_atom_site_type_symbol
_atom_site_fract_x
_atom_site_fract_y
_atom_site_fract_z
Os1 Os 0.1250 0.2500 0.8750
Os2 Os 0.7500 0.3750 0.1250
Os3 Os 0.7500 0.8750 0.6250
Os4 Os 0.2500 0.1250 0.3750
Os5 Os 0.2500 0.6250 0.8750
Os6 Os 0.8750 0.1250 0.2500
Os7 Os 0.6250 0.2500 0.3750
Os8 Os 0.3750 0.6250 0.2500
Os9 Os 0.1250 0.8750 0.7500
Os10 Os 0.8750 0.7500 0.1250
Os11 Os 0.3750 0.7500 0.6250
Os12 Os 0.6250 0.3750 0.7500
Er1 Er 0.7176 0.1240 0.0292
Er2 Er 0.4708 0.7824 0.8760
Er3 Er 0.7824 0.4708 0.3760
Er4 Er 0.9708 0.3760 0.2824
Er5 Er 0.2824 0.4064 0.8116
Er6 Er 0.0292 0.6240 0.7176
Er7 Er 0.2824 0.8760 0.9708
Er8 Er 0.9708 0.5948 0.1884
Er9 Er 0.2176 0.5292 0.6240
Er10 Er 0.6240 0.0292 0.2176
Er11 Er 0.4064 0.2824 0.3116
Er12 Er 0.5936 0.8760 0.4052
Er13 Er 0.2176 0.6884 0.0936
Er14 Er 0.8116 0.9064 0.2824
Er15 Er 0.0948 0.1884 0.4708
Er16 Er 0.5948 0.9708 0.6884
Er17 Er 0.5936 0.7176 0.6884
Er18 Er 0.3760 0.9708 0.7824
Er19 Er 0.1884 0.0936 0.7176
Er20 Er 0.3116 0.5292 0.4052
Er21 Er 0.9052 0.8116 0.5292
Er22 Er 0.5948 0.6240 0.4064
Er23 Er 0.1240 0.7176 0.5292
Er24 Er 0.0292 0.4052 0.8116
Er25 Er 0.0936 0.1884 0.2176
Er26 Er 0.7824 0.3116 0.9064
Er27 Er 0.9064 0.8116 0.7824
Er28 Er 0.0948 0.9064 0.1240
Er29 Er 0.6884 0.4708 0.5948
Er30 Er 0.8760 0.5936 0.9052
Er31 Er 0.6240 0.5948 0.9064
Er32 Er 0.0936 0.9052 0.3760
Er33 Er 0.9064 0.0948 0.6240
Er34 Er 0.4064 0.1240 0.5948
Er35 Er 0.5292 0.2176 0.1240
Er36 Er 0.8760 0.2824 0.4708
Er37 Er 0.5292 0.3116 0.9052
Er38 Er 0.3760 0.4052 0.0936
Er39 Er 0.3116 0.7824 0.4064
Er40 Er 0.1240 0.4064 0.0948
Er41 Er 0.8116 0.9052 0.0292
Er42 Er 0.7176 0.5936 0.1884
Er43 Er 0.4708 0.6884 0.0948
Er44 Er 0.4052 0.0292 0.3116
Er45 Er 0.1884 0.0948 0.9708
Er46 Er 0.6884 0.2176 0.5936
Er47 Er 0.9052 0.0936 0.8760
Er48 Er 0.4052 0.3760 0.5936
H1 H 0.2500 0.8750 0.1250
H2 H 0.3750 0.1250 0.7500
H3 H 0.0000 0.0000 0.0000
H4 H 0.5000 0.0000 0.5000
H5 H 0.0000 0.0000 0.5000
H6 H 0.7500 0.6250 0.3750
H7 H 0.5000 0.5000 0.5000
H8 H 0.2500 0.3750 0.6250
H9 H 0.1250 0.3750 0.2500
H10 H 0.0000 0.5000 0.0000
H11 H 0.6250 0.7500 0.8750
H12 H 0.6250 0.8750 0.2500
H13 H 0.0000 0.5000 0.5000
H14 H 0.8750 0.2500 0.6250
H15 H 0.8750 0.6250 0.7500
H16 H 0.7500 0.1250 0.8750
H17 H 0.5000 0.5000 0.0000
H18 H 0.5000 0.0000 0.0000
H19 H 0.3750 0.2500 0.1250
H20 H 0.1250 0.7500 0.3750
```

## Properties
Energy (eV per atom): -5.574
Space group: Ia-3d, No. 230

Record 2
DFT (PBE) results for NdSn7 after structural relaxation.

```
data_NdSn7
_cell_length_a 6.7739
_cell_length_b 6.7739
_cell_length_c 6.7739
_cell_angle_alpha 60.00
_cell_angle_beta 60.00
_cell_angle_gamma 60.00
_symmetry_space_group_name_H-M 'P 1'
_symmetry_Int_Tables_number 1
loop_
_symmetry_equiv_pos_as_xyz
'x,y,z'
loop_
_atom_site_label
_atom_site_type_symbol
_atom_site_fract_x
_atom_site_fract_y
_atom_site_fract_z
Sn1 Sn 0.5000 0.0000 0.5000
Sn2 Sn 0.0000 0.5000 0.5000
Sn3 Sn 0.5000 0.5000 0.0000
Sn4 Sn 0.0000 0.0000 0.5000
Sn5 Sn 0.5000 0.0000 0.0000
Sn6 Sn 0.5000 0.5000 0.5000
Sn7 Sn 0.0000 0.5000 0.0000
Nd1 Nd 0.0000 0.0000 0.0000
```

## Properties
Energy (eV per atom): -4.293
Calculated formation energy (eV per atom): -0.194
Space group: Fm-3m, No. 225